Crystalline Mn2CoRu2 at its relaxed geometry, computed with PBE.

```
data_Mn2CoRu2
_chemical_formula_sum 'Mn4 Co2 Ru4'
_symmetry_space_group_name_H-M 'I 4/m m m'
_symmetry_Int_Tables_number 139
_symmetry_space_group_name_Hall '-I 4 2'
_cell_length_a 3.084
_cell_length_b 3.084
_cell_length_c 13.635
_cell_angle_alpha 90.00
_cell_angle_beta 90.00
_cell_angle_gamma 90.00
loop_
_atom_site_label
_atom_site_fract_x
_atom_site_fract_y
_atom_site_fract_z
Mn1 0.000 0.500 0.250
Co1 0.000 0.000 0.000
Ru1 0.000 0.000 0.400
```

Values from the calculation:
For the calculated formation energy, the calculation gives 0.506 eV/atom. The excess energy over the best structure of this formula in the dataset is 23.8 kJ/mol of atoms. As for the calculated density: 9.499 g/cm3.